# GGA-PBE FeCo4Ir, optimized geometry
data_FeCo4Ir
_chemical_formula_sum 'Fe1 Co4 Ir1'
_cell_length_a 2.581
_cell_length_b 3.550
_cell_length_c 7.694
_cell_angle_alpha 90.00
_cell_angle_beta 90.00
_cell_angle_gamma 90.00
_space_group_name_H-M_alt 'P m m m'
_space_group_IT_number 47
loop_
_space_group_symop_operation_xyz
'x,y,z'
'-x,-y,-z'
'-x,-y,z'
'x,y,-z'
'x,-y,-z'
'-x,y,z'
'-x,y,-z'
'x,-y,z'
loop_
_atom_site_label
_atom_site_type_symbol
_atom_site_fract_x
_atom_site_fract_y
_atom_site_fract_z
Fe1 Fe 0.000 0.000 0.000
Co1 Co 0.000 0.000 0.322
Co2 Co 0.500 0.500 0.163
Ir1 Ir 0.500 0.500 0.500
# ΔE_f = 0.04 eV/atom
# Fermi-level density of states = 7.5 states/eV/cell
# calculated total energy = -7.5799 eV/atom
# polymorph energy (0 for the lowest one) = 0.0 meV per atom